[1]
Here is a relaxed BeNi2Se crystal from Alexandria via LeMat-Bulk. Energies are from PBE.

- Formation energy without anion corrections: 0.055 eV/f.u.
- Relative energy among the computed polymorphs: 0.245 eV/f.u.

Unit cell a=4.021 b=4.021 c=4.293 alpha=99.82 beta=99.82 gamma=44.73
Sites, in units of the cell vectors:
Be  0.000  0.000  0.000
Ni  0.248  0.248  0.769
Ni  0.752  0.752  0.231
Se  0.500  0.500  0.500


[2]
Here is a relaxed Ca2CrH4 crystal from Alexandria via LeMat-Bulk. Energies are from PBE.

- Energy: -0.1492 hartree per atom

Unit cell a=6.386 b=6.386 c=6.386 alpha=146.77 beta=146.77 gamma=47.71
Sites, in units of the cell vectors:
Ca  0.137  0.137  0.000
Ca  0.863  0.863  0.000
Cr  0.500  0.500  0.000
H  0.000  0.500  0.500
H  0.344  0.344  0.000
H  0.500  0.000  0.500
H  0.656  0.656  0.000


[3]
Here is a relaxed K2Li2ThS4 crystal from Alexandria via LeMat-Bulk. Energies are from PBE.

- Formation energy without anion corrections: -14.198 eV/f.u.

Unit cell a=7.809 b=7.809 c=7.575 alpha=109.77 beta=109.77 gamma=30.99
Sites, in units of the cell vectors:
K  0.140  0.140  0.066
K  0.860  0.860  0.934
Li  0.317  0.317  0.511
Li  0.683  0.683  0.489
Th  0.000  0.000  0.500
S  0.197  0.197  0.668
S  0.482  0.482  0.733
S  0.518  0.518  0.267
S  0.803  0.803  0.332